[1]
This record from Alexandria describes a PBEsol-optimized structure of Sn3RuN. The functional is meta-GGA SCAN.

```
data_Sn3RuN
_chemical_formula_sum 'Sn3 Ru1 N1'
_space_group_name_H-M_alt 'P m -3 m'
_space_group_IT_number 221
_space_group_name_Hall '-P 4 2 3'
_cell_length_a 4.495
_cell_length_b 4.495
_cell_length_c 4.495
_cell_angle_alpha 90.00
_cell_angle_beta 90.00
_cell_angle_gamma 90.00
loop_
_atom_site_label
_atom_site_fract_x
_atom_site_fract_y
_atom_site_fract_z
Sn1 0.000 0.000 0.500
Ru1 0.500 0.500 0.500
N1 0.000 0.000 0.000
```

Output
- D(E_F): 5.42 states/eV/cell
- Total DFT energy (no corrections): -29.45 eV/atom
- E_form (uncorrected): 0.9306 eV per atom



[2]
This record from Alexandria describes a PBEsol-optimized structure of Sr5Ru2N6. The functional is meta-GGA SCAN.

```
data_Sr5Ru2N6
_chemical_formula_sum 'Sr20 Ru8 N24'
_space_group_name_H-M_alt 'C 1 2/c 1'
_space_group_IT_number 15
_cell_length_a 10.358
_cell_length_b 6.780
_cell_length_c 13.097
_cell_angle_alpha 90.00
_cell_angle_beta 102.62
_cell_angle_gamma 90.00
loop_
_space_group_symop_operation_xyz
'x,y,z'
'-x,-y,-z'
'-x,y,-z+1/2'
'x,-y,z+1/2'
'x+1/2,y+1/2,z'
'-x+1/2,-y+1/2,-z'
'-x+1/2,y+1/2,-z+1/2'
'x+1/2,-y+1/2,z+1/2'
loop_
_atom_site_label
_atom_site_fract_x
_atom_site_fract_y
_atom_site_fract_z
Sr1 0.000 0.119 0.250
Sr2 0.062 0.237 0.998
Sr3 0.159 0.398 0.718
Ru1 0.230 0.398 0.441
N1 0.055 0.453 0.376
N2 0.147 0.043 0.642
N3 0.206 0.042 0.420
```

Output
- D(E_F): 24.48 states/eV/cell
- Total DFT energy (no corrections): -18.85 eV/atom
- E_form (uncorrected): -0.6400 eV per atom



[3]
This record from Alexandria describes a PBEsol-optimized structure of Sr2RuN. The functional is meta-GGA SCAN.

```
data_Sr2RuN
_chemical_formula_sum 'Sr8 Ru4 N4'
_space_group_name_H-M_alt 'I -4 2 d'
_space_group_IT_number 122
_space_group_name_Hall 'I -4 2bw'
_cell_length_a 10.452
_cell_length_b 10.452
_cell_length_c 3.777
_cell_angle_alpha 90.00
_cell_angle_beta 90.00
_cell_angle_gamma 90.00
loop_
_atom_site_label
_atom_site_fract_x
_atom_site_fract_y
_atom_site_fract_z
Sr1 0.051 0.250 0.125
Ru1 0.000 0.000 0.500
N1 0.000 0.000 0.000
```

Output
- D(E_F): 12.62 states/eV/cell
- Total DFT energy (no corrections): -22.58 eV/atom
- E_form (uncorrected): -0.4151 eV per atom



[4]
This record from Alexandria describes a PBEsol-optimized structure of Sr2RuN3. The functional is meta-GGA SCAN.

```
data_Sr2RuN3
_chemical_formula_sum 'Sr16 Ru8 N24'
_space_group_name_H-M_alt 'C 1 2/c 1'
_space_group_IT_number 15
_cell_length_a 5.450
_cell_length_b 11.113
_cell_length_c 12.313
_cell_angle_alpha 90.00
_cell_angle_beta 94.50
_cell_angle_gamma 90.00
loop_
_space_group_symop_operation_xyz
'x,y,z'
'-x,-y,-z'
'-x,y,-z+1/2'
'x,-y,z+1/2'
'x+1/2,y+1/2,z'
'-x+1/2,-y+1/2,-z'
'-x+1/2,y+1/2,-z+1/2'
'x+1/2,-y+1/2,z+1/2'
loop_
_atom_site_label
_atom_site_fract_x
_atom_site_fract_y
_atom_site_fract_z
Sr1 0.220 0.202 0.356
Sr2 0.236 0.108 0.926
Ru1 0.224 0.497 0.830
N1 0.000 0.001 0.750
N2 0.000 0.389 0.250
N3 0.200 0.336 0.867
N4 0.249 0.406 0.456
```

Output
- D(E_F): 24.16 states/eV/cell
- Total DFT energy (no corrections): -18.46 eV/atom
- E_form (uncorrected): -0.5818 eV per atom



[5]
This record from Alexandria describes a PBEsol-optimized structure of Sr3RuN3. The functional is meta-GGA SCAN.

```
data_Sr3RuN3
_chemical_formula_sum 'Sr6 Ru2 N6'
_space_group_name_H-M_alt 'P 63/m'
_space_group_IT_number 176
_space_group_name_Hall '-P 6c'
_cell_length_a 7.6727
_cell_length_b 7.6727
_cell_length_c 5.2491
_cell_angle_alpha 90.00
_cell_angle_beta 90.00
_cell_angle_gamma 120.00
loop_
_atom_site_label
_atom_site_fract_x
_atom_site_fract_y
_atom_site_fract_z
Sr1 0.0933 0.3603 0.2500
Ru1 0.3333 0.6667 0.7500
N1 0.1071 0.4136 0.7500
```

Output
- D(E_F): 4.75 states/eV/cell
- Total DFT energy (no corrections): -19.24 eV/atom
- E_form (uncorrected): -0.7359 eV per atom



[6]
This record from Alexandria describes a PBEsol-optimized structure of SrTe2RuN. The functional is meta-GGA SCAN.

```
data_SrTe2RuN
_chemical_formula_sum 'Sr1 Te2 Ru1 N1'
_space_group_name_H-M_alt 'P 4/m m m'
_space_group_IT_number 123
_space_group_name_Hall '-P 4 2'
_cell_length_a 5.953
_cell_length_b 5.953
_cell_length_c 4.488
_cell_angle_alpha 90.00
_cell_angle_beta 90.00
_cell_angle_gamma 90.00
loop_
_atom_site_label
_atom_site_fract_x
_atom_site_fract_y
_atom_site_fract_z
Sr1 0.000 0.000 0.000
Te1 0.000 0.500 0.000
Ru1 0.500 0.500 0.500
N1 0.000 0.000 0.500
```

Output
- D(E_F): 4.11 states/eV/cell
- Total DFT energy (no corrections): -26.72 eV/atom
- E_form (uncorrected): 1.4623 eV per atom



[7]
This record from Alexandria describes a PBEsol-optimized structure of Ta3RuN. The functional is meta-GGA SCAN.

```
data_Ta3RuN
_chemical_formula_sum 'Ta12 Ru4 N4'
_space_group_name_H-M_alt 'C m c m'
_space_group_IT_number 63
_space_group_name_Hall '-C 2c 2'
_cell_length_a 3.066
_cell_length_b 10.960
_cell_length_c 8.479
_cell_angle_alpha 90.00
_cell_angle_beta 90.00
_cell_angle_gamma 90.00
loop_
_atom_site_label
_atom_site_fract_x
_atom_site_fract_y
_atom_site_fract_z
Ta1 0.000 0.042 0.250
Ta2 0.000 0.368 0.047
Ru1 0.000 0.254 0.750
N1 0.000 0.000 0.000
```

Output
- D(E_F): 11.53 states/eV/cell
- Total DFT energy (no corrections): -49.48 eV/atom
- E_form (uncorrected): -0.7079 eV per atom



[8]
This record from Alexandria describes a PBEsol-optimized structure of TcRuN3. The functional is meta-GGA SCAN.

```
data_TcRuN3
_chemical_formula_sum 'Tc1 Ru1 N3'
_space_group_name_H-M_alt 'P m -3 m'
_space_group_IT_number 221
_space_group_name_Hall '-P 4 2 3'
_cell_length_a 3.804
_cell_length_b 3.804
_cell_length_c 3.804
_cell_angle_alpha 90.00
_cell_angle_beta 90.00
_cell_angle_gamma 90.00
loop_
_atom_site_label
_atom_site_fract_x
_atom_site_fract_y
_atom_site_fract_z
Tc1 0.000 0.000 0.000
Ru1 0.500 0.500 0.500
N1 0.000 0.000 0.500
```

Output
- D(E_F): 2.73 states/eV/cell
- Total DFT energy (no corrections): -18.34 eV/atom
- E_form (uncorrected): 1.2099 eV per atom



[9]
This record from Alexandria describes a PBEsol-optimized structure of TiTe2RuN. The functional is meta-GGA SCAN.

```
data_TiTe2RuN
_chemical_formula_sum 'Ti1 Te2 Ru1 N1'
_space_group_name_H-M_alt 'P 4/m m m'
_space_group_IT_number 123
_space_group_name_Hall '-P 4 2'
_cell_length_a 5.330
_cell_length_b 5.330
_cell_length_c 3.603
_cell_angle_alpha 90.00
_cell_angle_beta 90.00
_cell_angle_gamma 90.00
loop_
_atom_site_label
_atom_site_fract_x
_atom_site_fract_y
_atom_site_fract_z
Ti1 0.000 0.000 0.000
Te1 0.000 0.500 0.500
Ru1 0.500 0.500 0.500
N1 0.500 0.500 0.000
```

Output
- D(E_F): 3.18 states/eV/cell
- Total DFT energy (no corrections): -26.76 eV/atom
- E_form (uncorrected): 0.1709 eV per atom



[10]
This record from Alexandria describes a PBEsol-optimized structure of TlTe2RuN. The functional is meta-GGA SCAN.

```
data_TlTe2RuN
_chemical_formula_sum 'Tl1 Te2 Ru1 N1'
_space_group_name_H-M_alt 'P 4/m m m'
_space_group_IT_number 123
_space_group_name_Hall '-P 4 2'
_cell_length_a 5.649
_cell_length_b 5.649
_cell_length_c 3.960
_cell_angle_alpha 90.00
_cell_angle_beta 90.00
_cell_angle_gamma 90.00
loop_
_atom_site_label
_atom_site_fract_x
_atom_site_fract_y
_atom_site_fract_z
Tl1 0.000 0.000 0.000
Te1 0.000 0.500 0.000
Ru1 0.500 0.500 0.500
N1 0.000 0.000 0.500
```

Output
- D(E_F): 3.57 states/eV/cell
- Total DFT energy (no corrections): -36.38 eV/atom
- E_form (uncorrected): 1.8180 eV per atom



[11]
This record from Alexandria describes a PBEsol-optimized structure of TiRuN2. The functional is meta-GGA SCAN.

```
data_TiRuN2
_chemical_formula_sum 'Ti4 Ru4 N8'
_space_group_name_H-M_alt 'I -4 2 d'
_space_group_IT_number 122
_space_group_name_Hall 'I -4 2bw'
_cell_length_a 4.470
_cell_length_b 4.470
_cell_length_c 9.310
_cell_angle_alpha 90.00
_cell_angle_beta 90.00
_cell_angle_gamma 90.00
loop_
_atom_site_label
_atom_site_fract_x
_atom_site_fract_y
_atom_site_fract_z
Ti1 0.000 0.000 0.000
Ru1 0.000 0.000 0.500
N1 0.248 0.250 0.125
```

Output
- D(E_F): 8.20 states/eV/cell
- Total DFT energy (no corrections): -18.04 eV/atom
- E_form (uncorrected): -0.6782 eV per atom



[12]
This record from Alexandria describes a PBEsol-optimized structure of YTl2RuN. The functional is meta-GGA SCAN.

```
data_YTl2RuN
_chemical_formula_sum 'Y1 Tl2 Ru1 N1'
_space_group_name_H-M_alt 'P 4/m m m'
_space_group_IT_number 123
_space_group_name_Hall '-P 4 2'
_cell_length_a 5.244
_cell_length_b 5.244
_cell_length_c 3.725
_cell_angle_alpha 90.00
_cell_angle_beta 90.00
_cell_angle_gamma 90.00
loop_
_atom_site_label
_atom_site_fract_x
_atom_site_fract_y
_atom_site_fract_z
Y1 0.000 0.000 0.000
Tl1 0.000 0.500 0.500
Ru1 0.500 0.500 0.000
N1 0.500 0.500 0.500
```

Output
- D(E_F): 3.83 states/eV/cell
- Total DFT energy (no corrections): -43.14 eV/atom
- E_form (uncorrected): 0.1961 eV per atom